Compound: NpPaAlTc
Source: the Alexandria database
Functional: PBE
Structure: optimized geometry

Structure (POSCAR):
```
NpPaAlTc
1.0
-2.5493 3.5845 1.8296
-4.3688 0.9099 -1.6677
-3.8185 -0.9251 2.6941
Np Pa Tc Al
1 1 1 1
Direct
0.7500 0.7500 0.7500
0.0000 0.0000 0.0000
0.2500 0.2500 0.2500
0.5000 0.5000 0.5000
```

Values from the calculation:
energy	-36.80	eV for the cell shown
energy relative to the elements	-0.064	eV per atom